Entry 1:
A plane-wave DFT calculation with PBE was carried out for a geometry-optimized LiPu2F6 structure.

Summary:
space-group type	P2_1/c
E_form (uncorrected)	-3313	meV/atom
ΔE to the lowest computed polymorph	0	meV/atom
V	14.0	A^3/atom

Lattice parameters (Å, degrees): 5.2068 6.5646 7.3976 90.00 93.54 90.00
Site moments in Bohr magnetons follow the coordinates.
Atoms (fractional coordinates):
Li 0.5000 0.5000 0.0000  0.00
Li 0.0000 0.0000 0.5000  0.00
Pu 0.9620 0.3915 0.7337  5.45
Pu 0.5380 0.8915 0.7663  5.45
Pu 0.4620 0.1085 0.2337  5.45
Pu 0.0380 0.6085 0.2663  5.45
F 0.8837 0.9574 0.2462  -0.01
F 0.8554 0.7068 0.5646  -0.01
F 0.8175 0.6452 0.9519  -0.01
F 0.6825 0.1452 0.5481  -0.01
F 0.6446 0.2068 0.9354  -0.01
F 0.6163 0.4574 0.2538  -0.01
F 0.1163 0.0426 0.7538  -0.01
F 0.1446 0.2932 0.4354  -0.01
F 0.1825 0.3548 0.0481  -0.01
F 0.3175 0.8548 0.4519  -0.01
F 0.3554 0.7932 0.0646  -0.01
F 0.3837 0.5426 0.7462  -0.01



Entry 2:
A plane-wave DFT calculation with PBE was carried out for a geometry-optimized Li3PuF8 structure.

Summary:
space-group type	Pm-3m
E_form (uncorrected)	-2984	meV/atom
ΔE to the lowest computed polymorph	0	meV/atom
V	11.5	A^3/atom

Lattice parameters (Å, degrees): 5.1701 5.1701 5.1701 90.00 90.00 90.00
Site moments in Bohr magnetons follow the coordinates.
Atoms (fractional coordinates):
Li 0.5000 0.5000 0.0000  0.00
Li 0.5000 0.0000 0.5000  0.00
Li 0.0000 0.5000 0.5000  0.00
Pu 0.0000 0.0000 0.0000  3.24
F 0.2438 0.2438 0.7562  -0.03
F 0.2438 0.7562 0.2438  -0.03
F 0.7562 0.2438 0.2438  -0.03
F 0.7562 0.7562 0.7562  -0.03
F 0.7562 0.7562 0.2438  -0.03
F 0.7562 0.2438 0.7562  -0.03
F 0.2438 0.7562 0.7562  -0.03
F 0.2438 0.2438 0.2438  -0.03



Entry 3:
A plane-wave DFT calculation with PBE was carried out for a geometry-optimized Li2Pu5F12 structure.

Summary:
space-group type	C2/m
E_form (uncorrected)	-2966	meV/atom
V	16.7	A^3/atom

Lattice parameters (Å, degrees): 7.4257 6.8060 7.5627 95.78 90.00 123.06
Site moments in Bohr magnetons follow the coordinates.
Atoms (fractional coordinates):
Li 0.8188 0.0000 0.0000  0.00
Li 0.1812 0.0000 0.0000  0.00
Pu 0.2864 0.5728 0.6945  -5.53
Pu 0.2807 0.5613 0.1857  -5.55
Pu 0.0000 0.0000 0.5000  -5.71
Pu 0.7193 0.4387 0.8143  -5.55
Pu 0.7136 0.4272 0.3055  -5.53
F 0.9321 0.8642 0.8249  0.00
F 0.3184 0.2477 0.7175  0.01
F 0.9293 0.2477 0.7175  0.01
F 0.1754 0.7142 0.9453  0.01
F 0.5388 0.7142 0.9453  0.01
F 0.3870 0.7741 0.4608  0.02
F 0.6130 0.2259 0.5392  0.02
F 0.8246 0.2858 0.0547  0.01
F 0.4612 0.2858 0.0547  0.01
F 0.6816 0.7523 0.2825  0.01
F 0.0707 0.7523 0.2825  0.01
F 0.0679 0.1358 0.1751  0.00



Entry 4:
A plane-wave DFT calculation with PBE was carried out for a geometry-optimized LiPuF4 structure.

Summary:
space-group type	Cmmm
E_form (uncorrected)	-3306	meV/atom
V	14.8	A^3/atom

Lattice parameters (Å, degrees): 3.8120 4.8400 4.8400 84.92 90.00 90.00
Site moments in Bohr magnetons follow the coordinates.
Atoms (fractional coordinates):
Li 0.5000 0.0000 0.0000  0.00
Pu 0.0000 0.5000 0.5000  5.01
F 0.5000 0.2909 0.7091  -0.01
F 0.0000 0.8118 0.8118  -0.01
F 0.0000 0.1882 0.1882  -0.01
F 0.5000 0.7091 0.2909  -0.01



Entry 5:
A plane-wave DFT calculation with PBE was carried out for a geometry-optimized LiPuF6 structure.

Summary:
space-group type	R-3
E_form (uncorrected)	-3135	meV/atom
ΔE to the lowest computed polymorph	0	meV/atom
V	15.1	A^3/atom

Lattice parameters (Å, degrees): 5.3700 5.3703 5.7352 62.08 62.07 59.99
Site moments in Bohr magnetons follow the coordinates.
Atoms (fractional coordinates):
Li 0.5000 0.5000 0.5000  0.00
Pu 0.0000 0.0000 0.0000  3.25
F 0.1338 0.3688 0.7504  -0.04
F 0.7472 0.1339 0.7501  -0.04
F 0.6310 0.2529 0.2498  -0.04
F 0.2528 0.8661 0.2499  -0.04
F 0.8662 0.6312 0.2496  -0.04
F 0.3690 0.7471 0.7502  -0.04



Entry 6:
A plane-wave DFT calculation with PBE was carried out for a geometry-optimized RbLi2PuF8 structure.

Summary:
space-group type	R-3m
E_form (uncorrected)	-2843	meV/atom
V	19.9	A^3/atom

Lattice parameters (Å, degrees): 7.5086 7.5086 6.5310 54.91 54.91 60.00
Site moments in Bohr magnetons follow the coordinates.
Atoms (fractional coordinates):
Rb 0.0000 0.0000 0.0000  0.00
Li 0.3013 0.3013 0.0961  0.00
Li 0.6987 0.6987 0.9039  0.00
Pu 0.5000 0.5000 0.5000  3.47
F 0.8153 0.8153 0.5540  0.12
F 0.1847 0.1847 0.4460  0.12
F 0.2843 0.2843 0.7918  -0.04
F 0.7157 0.7157 0.2082  -0.04
F 0.3604 0.7157 0.2082  -0.04
F 0.2843 0.6396 0.7918  -0.04
F 0.6396 0.2843 0.7918  -0.04
F 0.7157 0.3604 0.2082  -0.04



Entry 7:
A plane-wave DFT calculation with PBE was carried out for a geometry-optimized RbLiPuF6 structure.

Summary:
space-group type	P-31c
E_form (uncorrected)	-3241	meV/atom
V	19.0	A^3/atom

Lattice parameters (Å, degrees): 5.6781 5.6781 12.2374 90.00 90.00 120.00
Site moments in Bohr magnetons follow the coordinates.
Atoms (fractional coordinates):
Rb 0.0000 0.0000 0.0000  0.00
Rb 0.0000 0.0000 0.5000  0.00
Li 0.3333 0.6667 0.2500  0.00
Li 0.6667 0.3333 0.7500  0.00
Pu 0.6667 0.3333 0.2500  4.12
Pu 0.3333 0.6667 0.7500  4.12
F 0.6235 0.6299 0.1547  -0.03
F 0.0064 0.3765 0.1547  -0.03
F 0.3765 0.0065 0.6547  -0.03
F 0.9936 0.6235 0.8453  -0.03
F 0.3701 0.3765 0.3453  -0.03
F 0.0064 0.6299 0.3453  -0.03
F 0.6299 0.0065 0.8453  -0.03
F 0.6235 0.9935 0.3453  -0.03
F 0.9936 0.3701 0.6547  -0.03
F 0.3701 0.9935 0.1547  -0.03
F 0.6299 0.6235 0.6547  -0.03
F 0.3765 0.3701 0.8453  -0.03



Entry 8:
A plane-wave DFT calculation with PBE was carried out for a geometry-optimized Rb2Li3PuF12 structure.

Summary:
space-group type	R-3m
E_form (uncorrected)	-2595	meV/atom
V	17.3	A^3/atom

Lattice parameters (Å, degrees): 8.1577 8.1577 8.1577 51.95 51.95 51.95
Site moments in Bohr magnetons follow the coordinates.
Atoms (fractional coordinates):
Rb 0.5837 0.5837 0.5837  0.00
Rb 0.4163 0.4163 0.4163  0.00
Li 0.5000 0.0000 0.0000  0.00
Li 0.0000 0.5000 0.0000  0.00
Li 0.0000 0.0000 0.5000  0.00
Pu 0.0000 0.0000 0.0000  3.02
F 0.3137 0.3137 0.9208  0.26
F 0.9148 0.9148 0.3302  -0.05
F 0.3302 0.9148 0.9148  -0.05
F 0.9208 0.3137 0.3137  0.26
F 0.9148 0.3302 0.9148  -0.05
F 0.3137 0.9208 0.3137  0.26
F 0.6863 0.6863 0.0792  0.26
F 0.0852 0.0852 0.6698  -0.05
F 0.6698 0.0852 0.0852  -0.05
F 0.0792 0.6863 0.6863  0.26
F 0.0852 0.6698 0.0852  -0.05
F 0.6863 0.0792 0.6863  0.26



Table of calculated total energy (eV/f.u.), in record order: -71.62; -70.85; -154.30; -43.57; -52.55; -68.21; -57.61; -91.17